An optimized crystal structure of MgFeAs4. Source: Alexandria, functional PBE-GGA.

Lattice parameters (Å, degrees): 7.785 7.785 7.785 90.00 90.00 90.00
Space group F-43m (No. 216)
Asymmetric unit:
1 Mg 0.000 0.000 0.000
2 Fe 0.250 0.250 0.250
3 As 0.125 0.125 0.625

energy of formation	0.494	eV per atom
total magnetic moment	3.03	μB/f.u.
uncorrected energy	-0.31470	Ry per atom